First-principles (PBEsol) data for a geometry-optimized Sm11Fe12C18 structure, as listed in the Alexandria database.

Computed properties:
Density of states at the Fermi level, states/eV per atom: 0.60
Magnetization, μB per cell: 6.22
E_form, eV per formula unit: -13.0

The structure in CIF format:
```
data_Sm11Fe12C18
_chemical_formula_sum 'Sm22 Fe24 C36'
_cell_length_a 10.211
_cell_length_b 10.211
_cell_length_c 10.211
_cell_angle_alpha 90.00
_cell_angle_beta 90.00
_cell_angle_gamma 90.00
_symmetry_space_group_name_H-M 'I -4 3 m'
_symmetry_Int_Tables_number 217
_symmetry_space_group_name_Hall 'I -4 2 3'
loop_
_atom_site_label
_atom_site_fract_x
_atom_site_fract_y
_atom_site_fract_z
_atom_site_occupancy
Sm1 0.000 0.000 0.000 1
Sm2 0.000 0.250 0.500 1
Sm3 0.202 0.202 0.798 1
Fe1 0.081 0.081 0.280 1
C1 0.000 0.000 0.430 1
C2 0.046 0.250 0.250 1
```

First-principles (PBEsol) data for a geometry-optimized GeSb2TeO structure, as listed in the Alexandria database.

Computed properties:
Density of states at the Fermi level, states/eV per atom: 1.04
Magnetization, μB per cell: 1.32
Energy relative to the elements, uncorrected, eV/atom: 1.079

The structure in CIF format:
```
data_GeSb2TeO
_chemical_formula_sum 'Ge1 Sb2 Te1 O1'
_cell_length_a 5.231
_cell_length_b 5.231
_cell_length_c 5.299
_cell_angle_alpha 90.00
_cell_angle_beta 90.00
_cell_angle_gamma 90.00
_symmetry_space_group_name_H-M 'P 4/m m m'
_symmetry_Int_Tables_number 123
_symmetry_space_group_name_Hall '-P 4 2'
loop_
_atom_site_label
_atom_site_fract_x
_atom_site_fract_y
_atom_site_fract_z
_atom_site_occupancy
Ge1 0.000 0.000 0.000 1
Sb1 0.000 0.500 0.000 1
Te1 0.000 0.000 0.500 1
O1 0.500 0.500 0.500 1
```

First-principles (PBEsol) data for a geometry-optimized CaSc3Ge structure, as listed in the Alexandria database.

Computed properties:
Density of states at the Fermi level, states/eV per atom: 1.17
Magnetization, μB per cell: 0.01
E_form, eV per formula unit: 5.8

The structure in CIF format:
```
data_CaSc3Ge
_chemical_formula_sum 'Ca1 Sc3 Ge1'
_cell_length_a 4.924
_cell_length_b 4.924
_cell_length_c 4.924
_cell_angle_alpha 90.00
_cell_angle_beta 90.00
_cell_angle_gamma 90.00
_symmetry_space_group_name_H-M 'P m -3 m'
_symmetry_Int_Tables_number 221
_symmetry_space_group_name_Hall '-P 4 2 3'
loop_
_atom_site_label
_atom_site_fract_x
_atom_site_fract_y
_atom_site_fract_z
_atom_site_occupancy
Ca1 0.000 0.000 0.000 1
Sc1 0.000 0.000 0.500 1
Ge1 0.500 0.500 0.500 1
```